No. 1
Density functional theory data (PBE) for a relaxed Gd3YCl crystal.

Results
E_form (uncorrected): -0.46 eV/atom
Space group: No. 221

a b c (Å): 5.3481 5.3481 5.3481
angles (deg): 90.00 90.00 90.00
Closest atoms and distances in Å follow each position.
Element x y z (fractional)
Gd (0.0000, 0.0000, 0.5000)  2 Cl 2.67
Gd (0.0000, 0.5000, 0.0000)  2 Cl 2.67
Gd (0.5000, 0.0000, 0.0000)  2 Cl 2.67
Cl (0.0000, 0.0000, 0.0000)  6 Gd 2.67
Y (0.5000, 0.5000, 0.5000)  12 Gd 3.78

***

No. 2
Density functional theory data (PBE) for a relaxed Gd2YCl crystal.

Results
E_form (uncorrected): -0.67 eV/atom
Space group: No. 166

a b c (Å): 3.6504 3.6504 10.2653
angles (deg): 79.76 79.76 60.00
Closest atoms and distances in Å follow each position.
Element x y z (fractional)
Gd (0.7388, 0.7388, 0.7835)  3 Cl 3.03
Gd (0.2612, 0.2612, 0.2165)  3 Cl 3.03
Cl (0.0000, 0.0000, 0.0000)  6 Gd 3.03
Y (0.5000, 0.5000, 0.5000)  6 Gd 3.54, 6 Y 3.65

***

| no. | volume (Å³ per cell) |
| --- | --- |
| 1 | 153.0 |
| 2 | 115.9 |